LiCoOF2 PBE+U relaxed; density of states at the Fermi level = 0.010 states/eV per atom; space group = Cc; distance to the lowest polymorph of the same formula = 3 meV per atom; size of the total moment = 4.002 μB/f.u.
1.0
4.296 -2.643 0.000
4.296 2.643 0.000
-3.292 0.000 4.603
Li Co O F
2 2 2 4
Direct
0.228 0.772 0.500
0.772 0.228 0.000
0.468 0.956 0.136
0.956 0.468 0.636
0.091 0.817 0.861
0.817 0.091 0.361
0.167 0.352 0.339
0.352 0.167 0.839
0.552 0.695 0.363
0.695 0.552 0.863